A relaxed Cs2V2Tc crystal. Source: the Alexandria database, functional GGA-PBE. Values from VASP.

Properties
**Total energy**: -0.35635 Ry per atom
**Mass density**: 5.39 Mg/m³

```
&SYSTEM
  ibrav = 0, nat = 10, ntyp = 3
/
ATOMIC_SPECIES
Cs 132.91 Cs.upf
Tc 98.00 Tc.upf
V 50.94 V.upf
ATOMIC_POSITIONS crystal
Cs 0.186 0.686 0.500
Cs 0.686 0.814 0.500
Cs 0.814 0.314 0.500
Cs 0.314 0.186 0.500
Tc 0.000 0.000 0.000
Tc 0.500 0.500 0.000
V 0.339 0.839 0.000
V 0.839 0.661 0.000
V 0.661 0.161 0.000
V 0.161 0.339 0.000
CELL_PARAMETERS angstrom
-4.406 -3.220 -3.606
0.940 -5.356 3.635
-4.859 1.977 4.171
```